InGe2MoRh | PBE-GGA | optimized geometry

M_tot in μB/cell: 3.75
Symmetry: P4/mmm
DFT formation energy in meV/atom: 1845.5
Uncorrected energy in eV/atom: -4.19
DOS(E_F) in states/eV per atom: 1.148

Lattice parameters (Å, degrees): 4.983 5.178 4.983 90.00 90.00 90.00
Atoms (fractional coordinates):
Mo: 0.000 0.500 0.000
Rh: 0.500 0.500 0.500
Ge: 0.000 0.000 0.500
In: 0.000 0.000 0.000
Ge: 0.500 0.000 0.000